Entry 1:
Tm4GaAgHg2 | PBE | optimized geometry Values from VASP.

Computed properties:
* formation energy: -0.46 eV/atom

Cell and atoms, written as Quantum ESPRESSO input:
```
&SYSTEM
  ibrav = 0, nat = 8, ntyp = 4
/
ATOMIC_SPECIES
Tm 168.93 Tm.upf
Hg 200.59 Hg.upf
Ag 107.87 Ag.upf
Ga 69.72 Ga.upf
CELL_PARAMETERS angstrom
5.123 0.000 0.000
2.562 4.437 0.000
2.562 1.479 8.358
ATOMIC_POSITIONS crystal
Tm 0.374 0.374 0.879
Tm 0.626 0.626 0.121
Tm 0.123 0.123 0.630
Tm 0.877 0.877 0.370
Hg 0.752 0.752 0.743
Hg 0.248 0.248 0.257
Ag 0.500 0.500 0.500
Ga 0.000 0.000 0.000
```

=====

Entry 2:
La2PtPb | PBE | optimized geometry Values from VASP.

Computed properties:
* formation energy: -0.28 eV/atom

Cell and atoms, written as Quantum ESPRESSO input:
```
&SYSTEM
  ibrav = 0, nat = 8, ntyp = 3
/
ATOMIC_SPECIES
Pt 195.08 Pt.upf
Pb 207.20 Pb.upf
La 138.91 La.upf
CELL_PARAMETERS angstrom
6.402 0.000 0.000
0.000 6.402 0.000
3.201 3.201 7.878
ATOMIC_POSITIONS crystal
Pt 0.500 0.500 0.000
Pt 0.250 0.750 0.500
Pb 0.000 0.000 0.000
Pb 0.750 0.250 0.500
La 0.375 0.418 0.750
La 0.168 0.625 0.250
La 0.875 0.832 0.750
La 0.582 0.125 0.250
```

=====

Entry 3:
Ca2SbH | PBE | optimized geometry Values from VASP.

Computed properties:
* energy above the lowest structure with this stoichiometry: 0.000 eV/atom

Cell and atoms, written as Quantum ESPRESSO input:
```
&SYSTEM
  ibrav = 0, nat = 8, ntyp = 3
/
ATOMIC_SPECIES
Ca 40.08 Ca.upf
H 1.01 H.upf
Sb 121.76 Sb.upf
CELL_PARAMETERS angstrom
-2.455 0.705 3.329
-5.654 -1.254 -3.903
0.337 -6.770 1.683
ATOMIC_POSITIONS crystal
Ca 0.500 0.250 0.750
Ca 0.500 0.750 0.750
Ca 0.500 0.750 0.250
Ca 0.500 0.250 0.250
H 0.500 0.000 0.500
H 0.500 0.500 0.000
Sb 0.000 0.000 0.000
Sb 0.000 0.500 0.500
```

=====

Entry 4:
Dy6SbTe3 | PBE | optimized geometry Values from VASP.

Computed properties:
* uncorrected formation energy: -0.954 eV per atom

Cell and atoms, written as Quantum ESPRESSO input:
```
&SYSTEM
  ibrav = 0, nat = 20, ntyp = 3
/
ATOMIC_SPECIES
Dy 162.50 Dy.upf
Te 127.60 Te.upf
Sb 121.76 Sb.upf
CELL_PARAMETERS angstrom
-0.467 -2.947 2.822
11.220 -3.919 -2.236
1.369 8.489 9.092
ATOMIC_POSITIONS crystal
Dy 0.250 0.243 0.699
Dy 0.750 0.423 0.117
Dy 0.250 0.885 0.542
Dy 0.750 0.115 0.458
Dy 0.250 0.516 0.355
Dy 0.750 0.757 0.301
Dy 0.750 0.955 0.125
Dy 0.750 0.484 0.645
Dy 0.250 0.045 0.875
Dy 0.250 0.577 0.883
Dy 0.750 0.789 0.766
Dy 0.250 0.211 0.234
Te 0.750 0.677 0.515
Te 0.750 0.166 0.043
Te 0.250 0.834 0.957
Te 0.750 0.385 0.858
Te 0.250 0.323 0.485
Te 0.250 0.615 0.142
Sb 0.250 0.954 0.312
Sb 0.750 0.046 0.688
```

=====

Entry 5:
Li2SF2 | PBE | optimized geometry Values from VASP.

Computed properties:
* energy above the lowest structure with this stoichiometry: 0.114 eV/atom
* uncorrected formation energy: -1.595 eV per atom

Cell and atoms, written as Quantum ESPRESSO input:
```
&SYSTEM
  ibrav = 0, nat = 10, ntyp = 3
/
ATOMIC_SPECIES
Li 6.94 Li.upf
F 19.00 F.upf
S 32.06 S.upf
CELL_PARAMETERS angstrom
-6.109 -3.112 -0.965
-0.336 -1.437 6.764
-1.187 2.203 0.409
ATOMIC_POSITIONS crystal
Li 0.111 0.389 0.000
Li 0.889 0.611 0.000
Li 0.389 0.889 0.000
Li 0.611 0.111 0.000
F 0.878 0.378 0.500
F 0.622 0.878 0.500
F 0.122 0.622 0.500
F 0.378 0.122 0.500
S 0.500 0.500 0.000
S 0.000 0.000 0.000
```

=====

Entry 6:
PmGdNiHg | PBE | optimized geometry Values from VASP.

Computed properties:
* formation energy: -0.32 eV/atom

Cell and atoms, written as Quantum ESPRESSO input:
```
&SYSTEM
  ibrav = 0, nat = 4, ntyp = 4
/
ATOMIC_SPECIES
Pm 145.00 Pm.upf
Hg 200.59 Hg.upf
Gd 157.25 Gd.upf
Ni 58.69 Ni.upf
CELL_PARAMETERS angstrom
5.142 0.000 0.000
2.571 4.453 0.000
2.571 1.484 4.198
ATOMIC_POSITIONS crystal
Pm 0.000 0.000 0.000
Hg 0.750 0.750 0.750
Gd 0.500 0.500 0.500
Ni 0.250 0.250 0.250
```

=====

Entry 7:
CaAc3Pt | PBE | optimized geometry Values from VASP.

Computed properties:
* energy above the lowest structure with this stoichiometry: 0.000 eV/atom
* formation energy: -0.43 eV/atom

Cell and atoms, written as Quantum ESPRESSO input:
```
&SYSTEM
  ibrav = 0, nat = 20, ntyp = 3
/
ATOMIC_SPECIES
Ac 227.00 Ac.upf
Pt 195.08 Pt.upf
Ca 40.08 Ca.upf
CELL_PARAMETERS angstrom
7.311 0.000 0.000
0.000 10.640 -0.006
0.000 -2.119 10.702
ATOMIC_POSITIONS crystal
Ac 0.405 0.200 0.566
Ac 0.426 0.929 0.811
Ac 0.095 0.200 0.066
Ac 0.905 0.800 0.934
Ac 0.595 0.800 0.434
Ac 0.414 0.674 0.059
Ac 0.914 0.326 0.441
Ac 0.086 0.674 0.559
Ac 0.926 0.071 0.689
Ac 0.574 0.071 0.189
Ac 0.074 0.929 0.311
Ac 0.586 0.326 0.941
Pt 0.743 0.071 0.442
Pt 0.257 0.929 0.558
Pt 0.757 0.071 0.942
Pt 0.243 0.929 0.058
Ca 0.086 0.442 0.812
Ca 0.914 0.558 0.188
Ca 0.586 0.558 0.688
Ca 0.414 0.442 0.312
```

=====

Entry 8:
Pr3NdSm6Y2 | PBE | optimized geometry Values from VASP.

Computed properties:
* formation energy: 0.01 eV/atom

Cell and atoms, written as Quantum ESPRESSO input:
```
&SYSTEM
  ibrav = 0, nat = 12, ntyp = 4
/
ATOMIC_SPECIES
Sm 150.36 Sm.upf
Pr 140.91 Pr.upf
Y 88.91 Y.upf
Nd 144.24 Nd.upf
CELL_PARAMETERS angstrom
-4.907 -2.784 -2.846
2.053 -2.149 5.576
-6.504 9.062 4.692
ATOMIC_POSITIONS crystal
Sm 0.584 0.917 0.753
Sm 0.251 0.251 0.753
Sm 0.416 0.083 0.247
Sm 0.749 0.749 0.247
Sm 0.917 0.584 0.753
Sm 0.083 0.416 0.247
Pr 0.500 0.500 0.500
Pr 0.833 0.167 0.500
Pr 0.167 0.833 0.500
Y 0.667 0.333 0.000
Y 0.333 0.667 0.000
Nd 0.000 0.000 0.000
```

=====

Entry 9:
Nb2TlGe2 | PBE | optimized geometry Values from VASP.

Computed properties:
* energy above the lowest structure with this stoichiometry: 0.148 eV/atom
* formation energy: 0.12 eV/atom

Cell and atoms, written as Quantum ESPRESSO input:
```
&SYSTEM
  ibrav = 0, nat = 10, ntyp = 3
/
ATOMIC_SPECIES
Nb 92.91 Nb.upf
Ge 72.64 Ge.upf
Tl 204.38 Tl.upf
CELL_PARAMETERS angstrom
-0.953 -4.877 5.633
-5.555 -3.320 -3.814
2.241 -2.098 -1.437
ATOMIC_POSITIONS crystal
Nb 0.143 0.643 0.500
Nb 0.357 0.143 0.500
Nb 0.643 0.857 0.500
Nb 0.857 0.357 0.500
Ge 0.358 0.858 0.000
Ge 0.858 0.642 0.000
Ge 0.642 0.142 0.000
Ge 0.142 0.358 0.000
Tl 0.500 0.500 0.000
Tl 0.000 0.000 0.000
```

=====

Entry 10:
Ba6HPd2Pt | PBE | optimized geometry Values from VASP.

Computed properties:
* calculated total energy: -0.132 hartree per atom

Cell and atoms, written as Quantum ESPRESSO input:
```
&SYSTEM
  ibrav = 0, nat = 10, ntyp = 4
/
ATOMIC_SPECIES
Ba 137.33 Ba.upf
Pd 106.42 Pd.upf
Pt 195.08 Pt.upf
H 1.01 H.upf
CELL_PARAMETERS angstrom
-2.460 2.587 6.939
-3.436 -4.906 5.001
4.641 -2.396 6.925
ATOMIC_POSITIONS crystal
Ba 0.584 0.232 0.253
Ba 0.426 0.728 0.753
Ba 0.232 0.931 0.253
Ba 0.728 0.094 0.753
Ba 0.094 0.425 0.752
Ba 0.931 0.584 0.253
Pd 0.508 0.508 0.477
Pd 0.004 0.005 0.987
Pt 0.829 0.829 0.512
H 0.326 0.326 0.022
```

=====

Entry 11:
KRbNa2Br4 | PBE | optimized geometry Values from VASP.

Computed properties:
* uncorrected formation energy: -1.632 eV per atom

Cell and atoms, written as Quantum ESPRESSO input:
```
&SYSTEM
  ibrav = 0, nat = 8, ntyp = 4
/
ATOMIC_SPECIES
Rb 85.47 Rb.upf
Br 79.90 Br.upf
K 39.10 K.upf
Na 22.99 Na.upf
CELL_PARAMETERS angstrom
4.524 0.000 0.000
0.000 7.974 -0.203
0.000 2.762 7.340
ATOMIC_POSITIONS crystal
Rb 0.500 0.500 0.000
Br 0.000 0.783 0.733
Br 0.500 0.779 0.245
Br 0.000 0.217 0.267
Br 0.500 0.221 0.755
K 0.000 0.500 0.500
Na 0.000 0.000 0.000
Na 0.500 0.000 0.500
```

=====

Entry 12:
YLuSc4 | PBE | optimized geometry Values from VASP.

Computed properties:
* formation energy: 0.21 eV/atom

Cell and atoms, written as Quantum ESPRESSO input:
```
&SYSTEM
  ibrav = 0, nat = 6, ntyp = 3
/
ATOMIC_SPECIES
Lu 174.97 Lu.upf
Sc 44.96 Sc.upf
Y 88.91 Y.upf
CELL_PARAMETERS angstrom
6.214 0.000 0.000
3.107 5.381 0.000
3.107 1.794 5.074
ATOMIC_POSITIONS crystal
Lu 0.000 0.000 0.000
Sc 0.125 0.625 0.625
Sc 0.625 0.625 0.625
Sc 0.625 0.625 0.125
Sc 0.625 0.125 0.625
Y 0.250 0.250 0.250
```

=====

Entry 13:
LaPu2Th | PBE | optimized geometry Values from VASP.

Computed properties:
* energy above the lowest structure with this stoichiometry: 0.000 eV/atom
* formation energy: 0.18 eV/atom

Cell and atoms, written as Quantum ESPRESSO input:
```
&SYSTEM
  ibrav = 0, nat = 4, ntyp = 3
/
ATOMIC_SPECIES
Pu 244.00 Pu.upf
Th 232.04 Th.upf
La 138.91 La.upf
CELL_PARAMETERS angstrom
3.500 0.000 0.000
0.000 3.500 0.000
0.000 0.000 9.742
ATOMIC_POSITIONS crystal
Pu 0.000 0.000 0.737
Pu 0.000 0.000 0.263
Th 0.500 0.500 0.500
La 0.500 0.500 0.000
```

=====

Entry 14:
TaSiIr | PBE | optimized geometry Values from VASP.

Computed properties:
* uncorrected formation energy: -0.713 eV per atom

Cell and atoms, written as Quantum ESPRESSO input:
```
&SYSTEM
  ibrav = 0, nat = 3, ntyp = 3
/
ATOMIC_SPECIES
Si 28.09 Si.upf
Ir 192.22 Ir.upf
Ta 180.95 Ta.upf
CELL_PARAMETERS angstrom
-2.329 -3.491 -0.674
4.195 -0.328 0.599
-0.425 -0.263 2.833
ATOMIC_POSITIONS crystal
Si 0.667 0.333 0.167
Ir 0.000 0.000 0.167
Ta 0.333 0.667 0.666
```

=====

Entry 15:
AcNd2Pd4 | PBE | optimized geometry Values from VASP.

Computed properties:
* formation energy: -0.81 eV/atom

Cell and atoms, written as Quantum ESPRESSO input:
```
&SYSTEM
  ibrav = 0, nat = 7, ntyp = 3
/
ATOMIC_SPECIES
Nd 144.24 Nd.upf
Pd 106.42 Pd.upf
Ac 227.00 Ac.upf
CELL_PARAMETERS angstrom
-2.319 -0.577 3.763
3.255 -1.600 1.760
2.212 9.832 0.232
ATOMIC_POSITIONS crystal
Nd 0.814 0.814 0.628
Nd 0.186 0.186 0.372
Pd 0.658 0.658 0.316
Pd 0.930 0.430 0.860
Pd 0.342 0.342 0.684
Pd 0.070 0.570 0.140
Ac 0.500 0.000 0.000
```

=====

Entry 16:
Tb2Tl2Ir | PBE | optimized geometry Values from VASP.

Computed properties:
* formation energy: -0.43 eV/atom

Cell and atoms, written as Quantum ESPRESSO input:
```
&SYSTEM
  ibrav = 0, nat = 5, ntyp = 3
/
ATOMIC_SPECIES
Tb 158.93 Tb.upf
Ir 192.22 Ir.upf
Tl 204.38 Tl.upf
CELL_PARAMETERS angstrom
-2.157 2.177 -1.774
-2.733 -2.140 0.697
0.612 5.089 9.037
ATOMIC_POSITIONS crystal
Tb 0.581 0.581 0.161
Tb 0.419 0.419 0.839
Ir 0.000 0.000 0.000
Tl 0.198 0.198 0.397
Tl 0.802 0.802 0.603
```

=====

Entry 17:
LaCr2Re | PBE | optimized geometry Values from VASP.

Computed properties:
* energy above the lowest structure with this stoichiometry: 0.277 eV/atom
* formation energy: 0.64 eV/atom

Cell and atoms, written as Quantum ESPRESSO input:
```
&SYSTEM
  ibrav = 0, nat = 4, ntyp = 3
/
ATOMIC_SPECIES
La 138.91 La.upf
Cr 52.00 Cr.upf
Re 186.21 Re.upf
CELL_PARAMETERS angstrom
0.000 3.187 3.187
3.187 0.000 3.187
3.187 3.187 0.000
ATOMIC_POSITIONS crystal
La 0.000 0.000 0.000
Cr 0.250 0.250 0.250
Cr 0.750 0.750 0.750
Re 0.500 0.500 0.500
```

=====

Entry 18:
Nb3Pd | PBE | optimized geometry Values from VASP.

Computed properties:
* formation energy: -0.03 eV/atom

Cell and atoms, written as Quantum ESPRESSO input:
```
&SYSTEM
  ibrav = 0, nat = 4, ntyp = 2
/
ATOMIC_SPECIES
Pd 106.42 Pd.upf
Nb 92.91 Nb.upf
CELL_PARAMETERS angstrom
-0.291 -2.594 -0.850
2.294 -1.717 4.453
-5.325 1.938 0.342
ATOMIC_POSITIONS crystal
Pd 0.000 0.018 0.000
Nb 0.500 0.503 0.000
Nb 0.262 0.585 0.524
Nb 0.738 0.061 0.476
```

=====

Entry 19:
PmCuP2 | PBE | optimized geometry Values from VASP.

Computed properties:
* energy above the lowest structure with this stoichiometry: 0.000 eV/atom
* formation energy: -0.87 eV/atom

Cell and atoms, written as Quantum ESPRESSO input:
```
&SYSTEM
  ibrav = 0, nat = 8, ntyp = 3
/
ATOMIC_SPECIES
Pm 145.00 Pm.upf
P 30.97 P.upf
Cu 63.55 Cu.upf
CELL_PARAMETERS angstrom
-3.072 -1.936 1.154
1.778 -0.910 3.245
-2.937 9.656 2.073
ATOMIC_POSITIONS crystal
Pm 0.125 0.125 0.235
Pm 0.889 0.889 0.765
P 0.937 0.515 0.000
P 0.515 0.937 0.000
P 0.332 0.332 0.648
P 0.684 0.684 0.352
Cu 0.259 0.759 0.500
Cu 0.759 0.259 0.500
```

=====

Entry 20:
TcMoRu3 | PBE | optimized geometry Values from VASP.

Computed properties:
* energy above the lowest structure with this stoichiometry: 0.000 eV/atom
* formation energy: 0.10 eV/atom

Cell and atoms, written as Quantum ESPRESSO input:
```
&SYSTEM
  ibrav = 0, nat = 10, ntyp = 3
/
ATOMIC_SPECIES
Mo 95.94 Mo.upf
Ru 101.07 Ru.upf
Tc 98.00 Tc.upf
CELL_PARAMETERS angstrom
-0.953 -2.597 -3.188
-0.561 -4.083 3.496
-6.004 0.697 4.023
ATOMIC_POSITIONS crystal
Mo 0.500 0.750 0.500
Mo 0.500 0.250 0.500
Ru 0.700 0.551 0.899
Ru 0.700 0.050 0.899
Ru 0.888 0.112 0.276
Ru 0.112 0.888 0.724
Ru 0.300 0.449 0.101
Ru 0.300 0.950 0.101
Tc 0.886 0.614 0.272
Tc 0.114 0.386 0.728
```

=====

Entry 21:
KTi2Tc2 | PBE | optimized geometry Values from VASP.

Computed properties:
* energy above the lowest structure with this stoichiometry: 0.000 eV/atom
* formation energy: 0.40 eV/atom

Cell and atoms, written as Quantum ESPRESSO input:
```
&SYSTEM
  ibrav = 0, nat = 10, ntyp = 3
/
ATOMIC_SPECIES
K 39.10 K.upf
Ti 47.87 Ti.upf
Tc 98.00 Tc.upf
CELL_PARAMETERS angstrom
8.099 0.000 0.000
0.000 8.099 0.000
0.000 0.000 2.926
ATOMIC_POSITIONS crystal
K 0.000 0.000 0.000
K 0.500 0.500 0.000
Ti 0.135 0.635 0.500
Ti 0.865 0.365 0.500
Ti 0.635 0.865 0.500
Ti 0.365 0.135 0.500
Tc 0.632 0.132 0.000
Tc 0.368 0.868 0.000
Tc 0.868 0.632 0.000
Tc 0.132 0.368 0.000
```

=====

Entry 22:
ErRe6 | PBE | optimized geometry Values from VASP.

Computed properties:
* energy above the lowest structure with this stoichiometry: 0.000 eV/atom
* formation energy: 0.02 eV/atom

Cell and atoms, written as Quantum ESPRESSO input:
```
&SYSTEM
  ibrav = 0, nat = 28, ntyp = 2
/
ATOMIC_SPECIES
Er 167.26 Er.upf
Re 186.21 Re.upf
CELL_PARAMETERS angstrom
5.218 0.000 0.000
0.000 8.476 0.000
0.000 0.000 10.843
ATOMIC_POSITIONS crystal
Er 0.250 0.268 0.444
Er 0.750 0.732 0.556
Er 0.250 0.768 0.056
Er 0.750 0.232 0.944
Re 0.250 0.139 0.150
Re 0.250 0.917 0.521
Re 0.750 0.861 0.850
Re 0.750 0.681 0.257
Re 0.250 0.639 0.350
Re 0.491 0.427 0.193
Re 0.009 0.427 0.193
Re 0.009 0.927 0.307
Re 0.250 0.082 0.919
Re 0.991 0.073 0.693
Re 0.509 0.073 0.693
Re 0.750 0.418 0.419
Re 0.750 0.083 0.479
Re 0.491 0.927 0.307
Re 0.991 0.573 0.807
Re 0.250 0.582 0.581
Re 0.250 0.819 0.757
Re 0.509 0.573 0.807
Re 0.750 0.918 0.081
Re 0.750 0.583 0.021
Re 0.750 0.361 0.650
Re 0.250 0.319 0.743
Re 0.750 0.181 0.243
Re 0.250 0.417 0.979
```

=====

Entry 23:
Ti12In3Pb | PBE | optimized geometry Values from VASP.

Computed properties:
* formation energy: -0.11 eV/atom

Cell and atoms, written as Quantum ESPRESSO input:
```
&SYSTEM
  ibrav = 0, nat = 16, ntyp = 3
/
ATOMIC_SPECIES
Ti 47.87 Ti.upf
In 114.82 In.upf
Pb 207.20 Pb.upf
CELL_PARAMETERS angstrom
-0.224 -3.423 -3.979
1.937 -3.756 3.122
-9.766 -2.671 2.848
ATOMIC_POSITIONS crystal
Ti 0.500 0.000 0.373
Ti 0.000 0.749 0.248
Ti 0.500 0.000 0.876
Ti 0.250 0.500 0.000
Ti 0.000 0.749 0.752
Ti 0.750 0.500 0.000
Ti 0.000 0.251 0.248
Ti 0.500 0.000 0.124
Ti 0.500 0.000 0.627
Ti 0.747 0.500 0.500
Ti 0.253 0.500 0.500
Ti 0.000 0.251 0.752
In 0.500 0.500 0.250
In 0.500 0.500 0.750
In 0.000 0.000 0.000
Pb 0.000 0.000 0.500
```